#A
NpOF3, relaxed, DFT PBE; symmetry = P2_13 (198); spin magnetization = 0.4000 μB per atom; crystal system = cubic
1.0
6.079 0.000 0.000
0.000 6.079 0.000
0.000 0.000 6.079
Np O F
4 4 12
direct
0.073 0.073 0.073 Np
0.427 0.927 0.573 Np
0.573 0.427 0.927 Np
0.927 0.573 0.427 Np
0.166 0.834 0.334 O
0.334 0.166 0.834 O
0.666 0.666 0.666 O
0.834 0.334 0.166 O
0.069 0.903 0.730 F
0.097 0.230 0.431 F
0.230 0.431 0.097 F
0.270 0.569 0.597 F
0.403 0.770 0.931 F
0.431 0.097 0.230 F
0.569 0.597 0.270 F
0.597 0.270 0.569 F
0.730 0.069 0.903 F
0.770 0.931 0.403 F
0.903 0.730 0.069 F
0.931 0.403 0.770 F

#B
NpOF3, relaxed, DFT PBE; symmetry = C2/m (12); spin magnetization = 0.4000 μB per atom; crystal system = monoclinic
1.0
4.416 -3.695 0.000
4.416 3.695 0.000
-4.196 0.000 5.037
Np O F
2 2 6
direct
0.217 0.217 0.033 Np
0.783 0.783 0.967 Np
0.057 0.057 0.232 O
0.943 0.943 0.768 O
0.046 0.459 0.815 F
0.459 0.046 0.815 F
0.489 0.489 0.695 F
0.511 0.511 0.305 F
0.541 0.954 0.185 F
0.954 0.541 0.185 F

In eV/atom, relative to the most stable structure: #A 0.259; #B 0.000.

#A
NpPF, relaxed, DFT PBE; symmetry = C2/m (12); spin magnetization = 0.9942 μB per atom; crystal system = monoclinic
1.0
8.583 -1.756 0.000
8.583 1.756 0.000
-1.663 0.000 6.591
Np P F
4 4 4
direct
0.108 0.108 0.379 Np
0.121 0.121 0.753 Np
0.879 0.879 0.247 Np
0.892 0.892 0.621 Np
0.249 0.249 0.129 P
0.264 0.264 0.629 P
0.736 0.736 0.371 P
0.751 0.751 0.871 P
0.074 0.074 0.041 F
0.497 0.497 0.293 F
0.503 0.503 0.707 F
0.926 0.926 0.959 F

#B
NpPF, relaxed, DFT PBE; symmetry = I4mm (107); spin magnetization = 1.1547 μB per atom; crystal system = tetragonal
1.0
-1.660 1.660 4.693
1.660 -1.660 4.693
1.660 1.660 -4.693
Np P F
1 1 1
direct
0.000 0.000 0.000 Np
0.324 0.324 0.000 P
0.614 0.614 0.000 F

In eV/atom, relative to the most stable structure: #A 0.000; #B 0.118.

#A
NpPb2F8, relaxed, DFT PBE; symmetry = Immm (71); spin magnetization = 0.2727 μB per atom; crystal system = orthorhombic
1.0
-1.984 3.315 6.087
1.984 -3.315 6.087
1.984 3.315 -6.087
Np Pb F
1 2 8
direct
0.000 0.000 0.000 Np
0.337 0.337 0.000 Pb
0.663 0.663 0.000 Pb
0.108 0.608 0.500 F
0.111 0.862 0.250 F
0.313 0.500 0.813 F
0.388 0.138 0.250 F
0.612 0.862 0.750 F
0.687 0.500 0.187 F
0.889 0.138 0.750 F
0.892 0.392 0.500 F

#B
NpPb2F8, relaxed, DFT PBE; symmetry = C2/m (12); spin magnetization = 0.2727 μB per atom; crystal system = monoclinic
1.0
7.433 -2.048 0.000
7.433 2.048 0.000
-2.006 0.000 5.516
Np Pb F
1 2 8
direct
0.000 0.000 0.000 Np
0.320 0.320 0.329 Pb
0.680 0.680 0.671 Pb
0.089 0.089 0.387 F
0.144 0.144 0.958 F
0.278 0.278 0.687 F
0.480 0.480 0.184 F
0.520 0.520 0.816 F
0.722 0.722 0.313 F
0.856 0.856 0.042 F
0.911 0.911 0.613 F

In eV/atom, relative to the most stable structure: #A 0.103; #B 0.000.